# 1
A plane-wave DFT calculation with meta-GGA SCAN was carried out for a PBEsol-optimized structure of Sc2NiRh.

Results
- final energy (eV/atom) = -20.437
- ΔH_f (0 K) (meV per atom) = -832

The structure in CIF format:
```
data_Sc2NiRh
_chemical_formula_sum 'Sc2 Ni1 Rh1'
_symmetry_space_group_name_H-M 'P 4/m m m'
_symmetry_Int_Tables_number 123
_symmetry_space_group_name_Hall '-P 4 2'
_cell_length_a 4.5019
_cell_length_b 4.5019
_cell_length_c 3.1167
_cell_angle_alpha 90.00
_cell_angle_beta 90.00
_cell_angle_gamma 90.00
loop_
_atom_site_label
_atom_site_fract_x
_atom_site_fract_y
_atom_site_fract_z
_atom_site_occupancy
Sc1 0.0000 0.5000 0.0000 1
Ni1 0.0000 0.0000 0.5000 1
Rh1 0.5000 0.5000 0.5000 1
```

---

# 2
A plane-wave DFT calculation with meta-GGA SCAN was carried out for a PBEsol-optimized structure of ScNi2Rh.

Results
- final energy (eV/atom) = -20.006
- ΔH_f (0 K) (meV per atom) = 82

The structure in CIF format:
```
data_ScNi2Rh
_chemical_formula_sum 'Sc3 Ni6 Rh3'
_symmetry_space_group_name_H-M 'R 3 m'
_symmetry_Int_Tables_number 160
_symmetry_space_group_name_Hall 'R 3 -2"'
_cell_length_a 2.7751
_cell_length_b 2.7751
_cell_length_c 24.3831
_cell_angle_alpha 90.00
_cell_angle_beta 90.00
_cell_angle_gamma 120.00
loop_
_atom_site_label
_atom_site_fract_x
_atom_site_fract_y
_atom_site_fract_z
_atom_site_occupancy
Sc1 0.0000 0.0000 0.0000 1
Ni1 0.0000 0.0000 0.2486 1
Ni2 0.0000 0.0000 0.5056 1
Rh1 0.0000 0.0000 0.7560 1
```

---

# 3
A plane-wave DFT calculation with meta-GGA SCAN was carried out for a PBEsol-optimized structure of NiRhSe2.

Results
- final energy (eV/atom) = -22.625
- formation energy without anion corrections (eV per atom) = -0.10

The structure in CIF format:
```
data_NiRhSe2
_chemical_formula_sum 'Ni3 Rh3 Se6'
_symmetry_space_group_name_H-M 'R -3 m'
_symmetry_Int_Tables_number 166
_symmetry_space_group_name_Hall '-R 3 2"'
_cell_length_a 3.5700
_cell_length_b 3.5700
_cell_length_c 21.2976
_cell_angle_alpha 90.00
_cell_angle_beta 90.00
_cell_angle_gamma 120.00
loop_
_atom_site_label
_atom_site_fract_x
_atom_site_fract_y
_atom_site_fract_z
_atom_site_occupancy
Ni1 0.0000 0.0000 0.0000 1
Rh1 0.0000 0.0000 0.5000 1
Se1 0.0000 0.0000 0.1039 1
```

---

# 4
A plane-wave DFT calculation with meta-GGA SCAN was carried out for a PBEsol-optimized structure of Ni2RhSe.

Results
- final energy (eV/atom) = -21.397
- formation energy without anion corrections (eV per atom) = 0.15

The structure in CIF format:
```
data_Ni2RhSe
_chemical_formula_sum 'Ni4 Rh2 Se2'
_symmetry_space_group_name_H-M 'I -4 m 2'
_symmetry_Int_Tables_number 119
_symmetry_space_group_name_Hall 'I -4 -2'
_cell_length_a 3.6803
_cell_length_b 3.6803
_cell_length_c 7.3624
_cell_angle_alpha 90.00
_cell_angle_beta 90.00
_cell_angle_gamma 90.00
loop_
_atom_site_label
_atom_site_fract_x
_atom_site_fract_y
_atom_site_fract_z
_atom_site_occupancy
Ni1 0.0000 0.0000 0.0000 1
Ni2 0.0000 0.5000 0.2500 1
Rh1 0.0000 0.0000 0.5000 1
Se1 0.0000 0.5000 0.7500 1
```

---

# 5
A plane-wave DFT calculation with meta-GGA SCAN was carried out for a PBEsol-optimized structure of NiRhSe2.

Results
- final energy (eV/atom) = -22.394
- formation energy without anion corrections (eV per atom) = 0.13

The structure in CIF format:
```
data_NiRhSe2
_chemical_formula_sum 'Ni1 Rh1 Se2'
_symmetry_space_group_name_H-M 'P 4/m m m'
_symmetry_Int_Tables_number 123
_symmetry_space_group_name_Hall '-P 4 2'
_cell_length_a 4.3445
_cell_length_b 4.3445
_cell_length_c 3.0740
_cell_angle_alpha 90.00
_cell_angle_beta 90.00
_cell_angle_gamma 90.00
loop_
_atom_site_label
_atom_site_fract_x
_atom_site_fract_y
_atom_site_fract_z
_atom_site_occupancy
Ni1 0.0000 0.0000 0.0000 1
Rh1 0.5000 0.5000 0.0000 1
Se1 0.0000 0.5000 0.5000 1
```

---

# 6
A plane-wave DFT calculation with meta-GGA SCAN was carried out for a PBEsol-optimized structure of Ni2RhSe.

Results
- final energy (eV/atom) = -21.294
- formation energy without anion corrections (eV per atom) = 0.26

The structure in CIF format:
```
data_Ni2RhSe
_chemical_formula_sum 'Ni6 Rh3 Se3'
_symmetry_space_group_name_H-M 'R 3 m'
_symmetry_Int_Tables_number 160
_symmetry_space_group_name_Hall 'R 3 -2"'
_cell_length_a 2.8161
_cell_length_b 2.8161
_cell_length_c 22.7004
_cell_angle_alpha 90.00
_cell_angle_beta 90.00
_cell_angle_gamma 120.00
loop_
_atom_site_label
_atom_site_fract_x
_atom_site_fract_y
_atom_site_fract_z
_atom_site_occupancy
Ni1 0.0000 0.0000 0.0000 1
Ni2 0.0000 0.0000 0.2522 1
Rh1 0.0000 0.0000 0.4986 1
Se1 0.0000 0.0000 0.7434 1
```

---

# 7
A plane-wave DFT calculation with meta-GGA SCAN was carried out for a PBEsol-optimized structure of NiRhSe2.

Results
- final energy (eV/atom) = -21.903
- formation energy without anion corrections (eV per atom) = 0.62

The structure in CIF format:
```
data_NiRhSe2
_chemical_formula_sum 'Ni4 Rh4 Se8'
_symmetry_space_group_name_H-M 'F -4 3 m'
_symmetry_Int_Tables_number 216
_symmetry_space_group_name_Hall 'F -4 2 3'
_cell_length_a 6.2194
_cell_length_b 6.2194
_cell_length_c 6.2194
_cell_angle_alpha 90.00
_cell_angle_beta 90.00
_cell_angle_gamma 90.00
loop_
_atom_site_label
_atom_site_fract_x
_atom_site_fract_y
_atom_site_fract_z
_atom_site_occupancy
Ni1 0.0000 0.0000 0.0000 1
Rh1 0.2500 0.2500 0.2500 1
Se1 0.0000 0.0000 0.5000 1
Se2 0.2500 0.2500 0.7500 1
```

---

# 8
A plane-wave DFT calculation with meta-GGA SCAN was carried out for a PBEsol-optimized structure of NiRh2Se4.

Results
- final energy (eV/atom) = -23.837
- formation energy without anion corrections (eV per atom) = -0.40

The structure in CIF format:
```
data_NiRh2Se4
_chemical_formula_sum 'Ni2 Rh4 Se8'
_symmetry_space_group_name_H-M 'C 1 2/m 1'
_symmetry_Int_Tables_number 12
_cell_length_a 11.9932
_cell_length_b 3.6800
_cell_length_c 6.2927
_cell_angle_alpha 90.00
_cell_angle_beta 119.89
_cell_angle_gamma 90.00
loop_
_symmetry_equiv_pos_as_xyz
'x,y,z'
'-x,-y,-z'
'-x,y,-z'
'x,-y,z'
'x+1/2,y+1/2,z'
'-x+1/2,-y+1/2,-z'
'-x+1/2,y+1/2,-z'
'x+1/2,-y+1/2,z'
loop_
_atom_site_label
_atom_site_fract_x
_atom_site_fract_y
_atom_site_fract_z
_atom_site_occupancy
Ni1 0.0000 0.0000 0.0000 1
Rh1 0.2356 0.5000 0.7168 1
Se1 0.1138 0.0000 0.4471 1
Se2 0.1311 0.5000 0.9756 1
```

---

# 9
A plane-wave DFT calculation with meta-GGA SCAN was carried out for a PBEsol-optimized structure of NiRh2Se.

Results
- final energy (eV/atom) = -25.861
- formation energy without anion corrections (eV per atom) = 0.09

The structure in CIF format:
```
data_NiRh2Se
_chemical_formula_sum 'Ni1 Rh2 Se1'
_symmetry_space_group_name_H-M 'P m m m'
_symmetry_Int_Tables_number 47
_cell_length_a 3.1040
_cell_length_b 3.1163
_cell_length_c 5.5300
_cell_angle_alpha 90.00
_cell_angle_beta 90.00
_cell_angle_gamma 90.00
loop_
_symmetry_equiv_pos_as_xyz
'x,y,z'
'-x,-y,-z'
'-x,-y,z'
'x,y,-z'
'x,-y,-z'
'-x,y,z'
'-x,y,-z'
'x,-y,z'
loop_
_atom_site_label
_atom_site_fract_x
_atom_site_fract_y
_atom_site_fract_z
_atom_site_occupancy
Ni1 0.0000 0.0000 0.0000 1
Rh1 0.5000 0.5000 0.2385 1
Se1 0.0000 0.0000 0.5000 1
```

---

# 10
A plane-wave DFT calculation with meta-GGA SCAN was carried out for a PBEsol-optimized structure of Ni2RhSe.

Results
- final energy (eV/atom) = -21.402
- formation energy without anion corrections (eV per atom) = 0.15

The structure in CIF format:
```
data_Ni2RhSe
_chemical_formula_sum 'Ni4 Rh2 Se2'
_symmetry_space_group_name_H-M 'C m m m'
_symmetry_Int_Tables_number 65
_symmetry_space_group_name_Hall '-C 2 2'
_cell_length_a 4.9650
_cell_length_b 6.7012
_cell_length_c 3.0442
_cell_angle_alpha 90.00
_cell_angle_beta 90.00
_cell_angle_gamma 90.00
loop_
_atom_site_label
_atom_site_fract_x
_atom_site_fract_y
_atom_site_fract_z
_atom_site_occupancy
Ni1 0.2500 0.2500 0.0000 1
Rh1 0.0000 0.0000 0.5000 1
Se1 0.0000 0.5000 0.5000 1
```

---

# 11
A plane-wave DFT calculation with meta-GGA SCAN was carried out for a PBEsol-optimized structure of NiRh2Se.

Results
- final energy (eV/atom) = -25.821
- formation energy without anion corrections (eV per atom) = 0.13

The structure in CIF format:
```
data_NiRh2Se
_chemical_formula_sum 'Ni2 Rh4 Se2'
_symmetry_space_group_name_H-M 'I m m 2'
_symmetry_Int_Tables_number 44
_cell_length_a 2.8932
_cell_length_b 4.2475
_cell_length_c 8.7159
_cell_angle_alpha 90.00
_cell_angle_beta 90.00
_cell_angle_gamma 90.00
loop_
_symmetry_equiv_pos_as_xyz
'x,y,z'
'-x,-y,z'
'-x,y,z'
'x,-y,z'
'x+1/2,y+1/2,z+1/2'
'-x+1/2,-y+1/2,z+1/2'
'-x+1/2,y+1/2,z+1/2'
'x+1/2,-y+1/2,z+1/2'
loop_
_atom_site_label
_atom_site_fract_x
_atom_site_fract_y
_atom_site_fract_z
_atom_site_occupancy
Ni1 0.0000 0.0000 0.0000 1
Rh1 0.0000 0.0000 0.5477 1
Rh2 0.0000 0.5000 0.7660 1
Se1 0.0000 0.5000 0.2786 1
```

---

# 12
A plane-wave DFT calculation with meta-GGA SCAN was carried out for a PBEsol-optimized structure of NiRh2Se.

Results
- final energy (eV/atom) = -25.822
- formation energy without anion corrections (eV per atom) = 0.13

The structure in CIF format:
```
data_NiRh2Se
_chemical_formula_sum 'Ni2 Rh4 Se2'
_symmetry_space_group_name_H-M 'C m m m'
_symmetry_Int_Tables_number 65
_symmetry_space_group_name_Hall '-C 2 2'
_cell_length_a 5.4717
_cell_length_b 6.6414
_cell_length_c 2.9499
_cell_angle_alpha 90.00
_cell_angle_beta 90.00
_cell_angle_gamma 90.00
loop_
_atom_site_label
_atom_site_fract_x
_atom_site_fract_y
_atom_site_fract_z
_atom_site_occupancy
Ni1 0.0000 0.0000 0.0000 1
Rh1 0.2500 0.2500 0.5000 1
Se1 0.0000 0.5000 0.0000 1
```

---

# 13
A plane-wave DFT calculation with meta-GGA SCAN was carried out for a PBEsol-optimized structure of NiRhSe2.

Results
- final energy (eV/atom) = -22.663
- formation energy without anion corrections (eV per atom) = -0.14

The structure in CIF format:
```
data_NiRhSe2
_chemical_formula_sum 'Ni1 Rh1 Se2'
_symmetry_space_group_name_H-M 'P 1 m 1'
_symmetry_Int_Tables_number 6
_cell_length_a 3.7540
_cell_length_b 3.3840
_cell_length_c 4.9242
_cell_angle_alpha 90.00
_cell_angle_beta 102.48
_cell_angle_gamma 90.00
loop_
_symmetry_equiv_pos_as_xyz
'x,y,z'
'x,-y,z'
loop_
_atom_site_label
_atom_site_fract_x
_atom_site_fract_y
_atom_site_fract_z
_atom_site_occupancy
Ni1 0.0000 0.0000 0.0000 1
Rh1 0.3911 0.5000 0.3619 1
Se1 0.5424 0.5000 0.8958 1
Se2 0.9022 0.0000 0.4676 1
```

---

# 14
A plane-wave DFT calculation with meta-GGA SCAN was carried out for a PBEsol-optimized structure of ZrNiRh2Se.

Results
- final energy (eV/atom) = -26.354
- formation energy without anion corrections (eV per atom) = 0.54

The structure in CIF format:
```
data_ZrNiRh2Se
_chemical_formula_sum 'Zr1 Ni1 Rh2 Se1'
_symmetry_space_group_name_H-M 'P 4/m m m'
_symmetry_Int_Tables_number 123
_symmetry_space_group_name_Hall '-P 4 2'
_cell_length_a 4.4367
_cell_length_b 4.4367
_cell_length_c 4.8760
_cell_angle_alpha 90.00
_cell_angle_beta 90.00
_cell_angle_gamma 90.00
loop_
_atom_site_label
_atom_site_fract_x
_atom_site_fract_y
_atom_site_fract_z
_atom_site_occupancy
Zr1 0.0000 0.0000 0.0000 1
Ni1 0.5000 0.5000 0.0000 1
Rh1 0.0000 0.5000 0.5000 1
Se1 0.0000 0.0000 0.5000 1
```

---

# 15
A plane-wave DFT calculation with meta-GGA SCAN was carried out for a PBEsol-optimized structure of SrNiRh.

Results
- final energy (eV/atom) = -23.597
- ΔH_f (0 K) (meV per atom) = 476

The structure in CIF format:
```
data_SrNiRh
_chemical_formula_sum 'Sr4 Ni4 Rh4'
_symmetry_space_group_name_H-M 'F -4 3 m'
_symmetry_Int_Tables_number 216
_symmetry_space_group_name_Hall 'F -4 2 3'
_cell_length_a 6.2185
_cell_length_b 6.2185
_cell_length_c 6.2185
_cell_angle_alpha 90.00
_cell_angle_beta 90.00
_cell_angle_gamma 90.00
loop_
_atom_site_label
_atom_site_fract_x
_atom_site_fract_y
_atom_site_fract_z
_atom_site_occupancy
Sr1 0.0000 0.0000 0.0000 1
Ni1 0.2500 0.2500 0.7500 1
Rh1 0.0000 0.0000 0.5000 1
```

---

# 16
A plane-wave DFT calculation with meta-GGA SCAN was carried out for a PBEsol-optimized structure of Sr2NiRh.

Results
- final energy (eV/atom) = -23.785
- ΔH_f (0 K) (meV per atom) = -161

The structure in CIF format:
```
data_Sr2NiRh
_chemical_formula_sum 'Sr4 Ni2 Rh2'
_symmetry_space_group_name_H-M 'A m m 2'
_symmetry_Int_Tables_number 38
_cell_length_a 4.2849
_cell_length_b 4.5296
_cell_length_c 10.4726
_cell_angle_alpha 90.00
_cell_angle_beta 90.00
_cell_angle_gamma 90.00
loop_
_symmetry_equiv_pos_as_xyz
'x,y,z'
'-x,-y,z'
'-x,y,z'
'x,-y,z'
'x,y+1/2,z+1/2'
'-x,-y+1/2,z+1/2'
'-x,y+1/2,z+1/2'
'x,-y+1/2,z+1/2'
loop_
_atom_site_label
_atom_site_fract_x
_atom_site_fract_y
_atom_site_fract_z
_atom_site_occupancy
Sr1 0.0000 0.0000 0.0000 1
Sr2 0.5000 0.0000 0.2876 1
Ni1 0.0000 0.0000 0.6881 1
Rh1 0.5000 0.0000 0.6009 1
```

---

# 17
A plane-wave DFT calculation with meta-GGA SCAN was carried out for a PBEsol-optimized structure of Sr2NiRh.

Results
- final energy (eV/atom) = -23.249
- ΔH_f (0 K) (meV per atom) = 375

The structure in CIF format:
```
data_Sr2NiRh
_chemical_formula_sum 'Sr2 Ni1 Rh1'
_symmetry_space_group_name_H-M 'P m m 2'
_symmetry_Int_Tables_number 25
_cell_length_a 3.2517
_cell_length_b 4.9985
_cell_length_c 5.7990
_cell_angle_alpha 90.00
_cell_angle_beta 90.00
_cell_angle_gamma 90.00
loop_
_symmetry_equiv_pos_as_xyz
'x,y,z'
'-x,-y,z'
'-x,y,z'
'x,-y,z'
loop_
_atom_site_label
_atom_site_fract_x
_atom_site_fract_y
_atom_site_fract_z
_atom_site_occupancy
Sr1 0.0000 0.0000 0.0000 1
Sr2 0.5000 0.5000 0.4786 1
Ni1 0.0000 0.0000 0.5058 1
Rh1 0.5000 0.5000 0.9748 1
```

---

# 18
A plane-wave DFT calculation with meta-GGA SCAN was carried out for a PBEsol-optimized structure of SrTlNi2Rh.

Results
- final energy (eV/atom) = -31.844
- ΔH_f (0 K) (meV per atom) = 306

The structure in CIF format:
```
data_SrTlNi2Rh
_chemical_formula_sum 'Sr1 Tl1 Ni2 Rh1'
_symmetry_space_group_name_H-M 'P 4/m m m'
_symmetry_Int_Tables_number 123
_symmetry_space_group_name_Hall '-P 4 2'
_cell_length_a 4.6984
_cell_length_b 4.6984
_cell_length_c 5.0178
_cell_angle_alpha 90.00
_cell_angle_beta 90.00
_cell_angle_gamma 90.00
loop_
_atom_site_label
_atom_site_fract_x
_atom_site_fract_y
_atom_site_fract_z
_atom_site_occupancy
Sr1 0.0000 0.0000 0.0000 1
Tl1 0.5000 0.5000 0.0000 1
Ni1 0.0000 0.5000 0.5000 1
Rh1 0.5000 0.5000 0.5000 1
```

---

# 19
A plane-wave DFT calculation with meta-GGA SCAN was carried out for a PBEsol-optimized structure of TaNi4Rh.

Results
- final energy (eV/atom) = -27.803
- ΔH_f (0 K) (meV per atom) = -295

The structure in CIF format:
```
data_TaNi4Rh
_chemical_formula_sum 'Ta4 Ni16 Rh4'
_symmetry_space_group_name_H-M 'F -4 3 m'
_symmetry_Int_Tables_number 216
_symmetry_space_group_name_Hall 'F -4 2 3'
_cell_length_a 6.5648
_cell_length_b 6.5648
_cell_length_c 6.5648
_cell_angle_alpha 90.00
_cell_angle_beta 90.00
_cell_angle_gamma 90.00
loop_
_atom_site_label
_atom_site_fract_x
_atom_site_fract_y
_atom_site_fract_z
_atom_site_occupancy
Ta1 0.0000 0.0000 0.0000 1
Ni1 0.1244 0.1244 0.3756 1
Rh1 0.2500 0.2500 0.7500 1
```

---

# 20
A plane-wave DFT calculation with meta-GGA SCAN was carried out for a PBEsol-optimized structure of TaNiRh3.

Results
- final energy (eV/atom) = -35.825
- ΔH_f (0 K) (meV per atom) = 989

The structure in CIF format:
```
data_TaNiRh3
_chemical_formula_sum 'Ta1 Ni1 Rh3'
_symmetry_space_group_name_H-M 'P m -3 m'
_symmetry_Int_Tables_number 221
_symmetry_space_group_name_Hall '-P 4 2 3'
_cell_length_a 4.3153
_cell_length_b 4.3153
_cell_length_c 4.3153
_cell_angle_alpha 90.00
_cell_angle_beta 90.00
_cell_angle_gamma 90.00
loop_
_atom_site_label
_atom_site_fract_x
_atom_site_fract_y
_atom_site_fract_z
_atom_site_occupancy
Ta1 0.0000 0.0000 0.0000 1
Ni1 0.5000 0.5000 0.5000 1
Rh1 0.0000 0.5000 0.5000 1
```